# Ac2MnZnPd6 (PBE-GGA, optimized geometry)
# Fermi-level density of states   13.24 states/eV/cell
# ΔE_f   -0.46 eV/atom
# DFT total energy   -5.442 eV/atom
data_Ac2MnZnPd6
_cell_length_a 5.8944
_cell_length_b 5.8944
_cell_length_c 22.7102
_cell_angle_alpha 90.00
_cell_angle_beta 90.00
_cell_angle_gamma 120.00
_symmetry_space_group_name_H-M 'R -3 m'
_symmetry_Int_Tables_number 166
_symmetry_space_group_name_Hall '-R 3 2"'
loop_
_atom_site_label
_atom_site_fract_x
_atom_site_fract_y
_atom_site_fract_z
Ac1 0.0000 0.0000 0.2202
Mn1 0.0000 0.0000 0.5000
Zn1 0.0000 0.0000 0.0000
Pd1 0.0036 0.5018 0.7506